Entry 1:
The following is a PBE calculation of crystalline AcBiSbSe at its relaxed geometry, from Alexandria.

```
AcBiSbSe
1.0
-0.828 -4.604 -3.195
5.600 -0.563 -0.640
0.290 -4.649 6.625
Ac Bi Sb Se
2 2 2 2
Direct
0.500 0.000 0.670 Ac
0.000 0.500 0.330 Ac
0.000 0.500 0.847 Bi
0.500 0.000 0.153 Bi
0.500 0.500 0.000 Sb
0.000 0.000 0.000 Sb
0.000 0.000 0.500 Se
0.500 0.500 0.500 Se
```

Computed properties:
symmetry	P4/nmm, No. 129
total magnetic moment	0.00	μB per cell
energy relative to the elements, uncorrected	-3.694	eV/f.u.
crystal system	tetragonal


Entry 2:
The following is a PBE calculation of crystalline Ac4BiSbSe2 at its relaxed geometry, from Alexandria.

```
Ac4BiSbSe2
1.0
4.686 0.000 0.000
0.000 8.002 -0.120
0.000 2.856 7.586
Ac Bi Sb Se
4 1 1 2
Direct
0.000 0.764 0.742 Ac
0.000 0.236 0.258 Ac
0.500 0.761 0.250 Ac
0.500 0.239 0.750 Ac
0.500 0.500 0.000 Bi
0.000 0.500 0.500 Sb
0.000 0.000 0.000 Se
0.500 0.000 0.500 Se
```

Computed properties:
symmetry	P2/m, No. 10
total magnetic moment	0.00	μB per cell
energy relative to the elements, uncorrected	-11.907	eV/f.u.
crystal system	monoclinic


Entry 3:
The following is a PBE calculation of crystalline AcSmBiSb at its relaxed geometry, from Alexandria.

```
AcSmBiSb
1.0
-4.310 3.682 0.547
-2.813 0.378 4.937
0.601 4.622 3.273
Sb Ac Bi Sm
1 1 1 1
Direct
0.500 0.500 0.500 Sb
0.250 0.250 0.250 Ac
0.000 0.000 0.000 Bi
0.750 0.750 0.750 Sm
```

Computed properties:
symmetry	F-43m, No. 216
total magnetic moment	0.00	μB per cell
ΔE to the lowest computed polymorph	0.0	kJ per mole of atoms
energy relative to the elements, uncorrected	-3.164	eV/f.u.
crystal system	cubic